Record 1
Material: Co4NiRh
Method: DFT, PBE
State: optimized geometry

Results
The calculation puts the energy above the most stable polymorph in this dataset at 0 meV per atom. The total energy comes out at -6.90 eV/atom. The calculated volume is 70.0 Å³/f.u.

```
data_Co4NiRh
_chemical_formula_sum 'Co8 Ni2 Rh2'
_space_group_name_H-M_alt 'P -1'
_space_group_IT_number 2
_space_group_name_Hall '-P 1'
_cell_length_a 5.094
_cell_length_b 5.131
_cell_length_c 5.646
_cell_angle_alpha 103.14
_cell_angle_beta 102.72
_cell_angle_gamma 90.41
loop_
_atom_site_label
_atom_site_type_symbol
_atom_site_fract_x
_atom_site_fract_y
_atom_site_fract_z
_atom_site_occupancy
Co1 Co 0.000 0.237 0.002 1
Co2 Co 0.164 0.922 0.672 1
Co3 Co 0.329 0.083 0.333 1
Co4 Co 0.499 0.236 0.999 1
Ni1 Ni 0.169 0.415 0.675 1
Rh1 Rh 0.328 0.585 0.326 1
```

***

Record 2
Material: Co4Ni2Rh3
Method: DFT, PBE
State: optimized geometry

Results
The calculation puts the energy above the most stable polymorph in this dataset at 132 meV per atom. The total energy comes out at -6.71 eV/atom. The calculated volume is 114.4 Å³/f.u.

```
data_Co4Ni2Rh3
_chemical_formula_sum 'Co16 Ni8 Rh12'
_space_group_name_H-M_alt 'C 1 2/c 1'
_space_group_IT_number 15
_space_group_name_Hall '-C 2yc'
_cell_length_a 9.832
_cell_length_b 10.956
_cell_length_c 4.252
_cell_angle_alpha 90.00
_cell_angle_beta 92.07
_cell_angle_gamma 90.00
loop_
_atom_site_label
_atom_site_type_symbol
_atom_site_fract_x
_atom_site_fract_y
_atom_site_fract_z
_atom_site_occupancy
Co1 Co 0.108 0.242 0.039 1
Co2 Co 0.173 0.328 0.561 1
Ni1 Ni 0.232 0.438 0.031 1
Rh1 Rh 0.000 0.442 0.250 1
Rh2 Rh 0.088 0.096 0.514 1
```

***

Record 3
Material: Co2NiRh
Method: DFT, PBE
State: optimized geometry

Results
The total energy comes out at -6.79 eV/atom. The calculated volume is 48.0 Å³/f.u.

```
data_Co2NiRh
_chemical_formula_sum 'Co4 Ni2 Rh2'
_space_group_name_H-M_alt 'C 1 m 1'
_space_group_IT_number 8
_space_group_name_Hall 'C -2y'
_cell_length_a 8.475
_cell_length_b 2.602
_cell_length_c 4.430
_cell_angle_alpha 90.00
_cell_angle_beta 100.93
_cell_angle_gamma 90.00
loop_
_atom_site_label
_atom_site_type_symbol
_atom_site_fract_x
_atom_site_fract_y
_atom_site_fract_z
_atom_site_occupancy
Co1 Co 0.000 0.000 0.000 1
Co2 Co 0.245 0.500 0.239 1
Ni1 Ni 0.252 0.000 0.762 1
Rh1 Rh 0.497 0.000 0.498 1
```

***

Record 4
Material: Co3Ni8Rh
Method: DFT, PBE
State: optimized geometry

Results
The total energy comes out at -6.11 eV/atom. The calculated volume is 137.7 Å³/f.u.

```
data_Co3Ni8Rh
_chemical_formula_sum 'Co6 Ni16 Rh2'
_space_group_name_H-M_alt 'P 63 m c'
_space_group_IT_number 186
_space_group_name_Hall 'P 6c -2c'
_cell_length_a 8.0378
_cell_length_b 8.0378
_cell_length_c 4.9227
_cell_angle_alpha 90.00
_cell_angle_beta 90.00
_cell_angle_gamma 120.00
loop_
_atom_site_label
_atom_site_type_symbol
_atom_site_fract_x
_atom_site_fract_y
_atom_site_fract_z
_atom_site_occupancy
Co1 Co 0.1745 0.3490 0.0000 1
Ni1 Ni 0.0000 0.0000 0.2572 1
Ni2 Ni 0.0102 0.5051 0.6907 1
Ni3 Ni 0.1630 0.3261 0.4983 1
Ni4 Ni 0.3333 0.6667 0.8122 1
Rh1 Rh 0.3333 0.6667 0.3140 1
```

***

Record 5
Material: CoNi4Rh4
Method: DFT, PBE
State: optimized geometry

Results
The total energy comes out at -6.59 eV/atom. The calculated volume is 112.9 Å³/f.u.

```
data_CoNi4Rh4
_chemical_formula_sum 'Co2 Ni8 Rh8'
_space_group_name_H-M_alt 'I 4/m m m'
_space_group_IT_number 139
_space_group_name_Hall '-I 4 2'
_cell_length_a 7.785
_cell_length_b 7.785
_cell_length_c 3.727
_cell_angle_alpha 90.00
_cell_angle_beta 90.00
_cell_angle_gamma 90.00
loop_
_atom_site_label
_atom_site_type_symbol
_atom_site_fract_x
_atom_site_fract_y
_atom_site_fract_z
_atom_site_occupancy
Co1 Co 0.000 0.000 0.000 1
Ni1 Ni 0.163 0.163 0.500 1
Rh1 Rh 0.000 0.325 0.000 1
```

***

Record 6
Material: Co2NiRh2
Method: DFT, PBE
State: optimized geometry

Results
The calculation puts the energy above the most stable polymorph in this dataset at 250 meV per atom. The total energy comes out at -6.63 eV/atom. The calculated volume is 67.3 Å³/f.u.

```
data_Co2NiRh2
_chemical_formula_sum 'Co4 Ni2 Rh4'
_space_group_name_H-M_alt 'P 4/m b m'
_space_group_IT_number 127
_space_group_name_Hall '-P 4 2ab'
_cell_length_a 7.091
_cell_length_b 7.091
_cell_length_c 2.675
_cell_angle_alpha 90.00
_cell_angle_beta 90.00
_cell_angle_gamma 90.00
loop_
_atom_site_label
_atom_site_type_symbol
_atom_site_fract_x
_atom_site_fract_y
_atom_site_fract_z
_atom_site_occupancy
Co1 Co 0.166 0.334 0.000 1
Ni1 Ni 0.000 0.000 0.500 1
Rh1 Rh 0.133 0.633 0.500 1
```

***

Looking at DOS(E_F) for the records above, in order, we have 14.1 49.0 10.4 34.0 23.8 12.9 states/eV per cell.
Looking at spin magnetization for the records above, in order, we have 16.90 45.13 9.94 22.72 12.68 11.23 μB per cell.
Looking at calculated formation energy for the records above, in order, we have 0.0294 0.1797 0.0479 0.1313 0.0347 0.3112 eV per atom.